Arrangement 1

Computed, not measured: crystalline MnBeRh3 at its relaxed geometry at the PBE level of DFT.

Results
- Magnetic moment: 0.0000 μB per atom

Cell lengths 4.3980, 4.3980, 4.3980 Å; angles 90.00, 90.00, 90.00 degrees
Last column: nearest neighbours and their distance in Å.
Space group Pm-3m (No. 221)
Inequivalent atoms, fractional coordinates:
Mn1 0.0000 0.0000 0.0000 x1  6 Rh 2.20
Be1 0.5000 0.5000 0.5000 x1  12 Rh 3.11
Rh1 0.0000 0.0000 0.5000 x3  2 Mn 2.20

Arrangement 2

Computed, not measured: crystalline MnBeRh3 at its relaxed geometry at the PBE level of DFT.

Results
- Magnetic moment: 0.0508 μB per atom

Cell lengths 4.0635, 4.0635, 4.0635 Å; angles 90.00, 90.00, 90.00 degrees
Last column: nearest neighbours and their distance in Å.
Space group Pm-3m (No. 221)
Inequivalent atoms, fractional coordinates:
Mn1 0.0000 0.0000 0.0000 x1  12 Rh 2.87
Be1 0.5000 0.5000 0.5000 x1  6 Rh 2.03
Rh1 0.0000 0.5000 0.5000 x3  2 Be 2.03

arrangement 2 is favored, and the nearest alternative lies 684 meV/atom above it.

Arrangement 1

Computed, not measured: crystalline Mn3BeRh at its relaxed geometry at the PBE level of DFT.

Results
- Magnetic moment: 1.9196 μB per atom

Cell lengths 4.0531, 4.0531, 4.0531 Å; angles 90.00, 90.00, 90.00 degrees
Last column: nearest neighbours and their distance in Å.
Space group Pm-3m (No. 221)
Inequivalent atoms, fractional coordinates:
Mn1 0.0000 0.0000 0.5000 x3  2 Be 2.03
Be1 0.0000 0.0000 0.0000 x1  6 Mn 2.03
Rh1 0.5000 0.5000 0.5000 x1  12 Mn 2.87

Arrangement 2

Computed, not measured: crystalline Mn3BeRh at its relaxed geometry at the PBE level of DFT.

Results
- Magnetic moment: 2.6216 μB per atom

Cell lengths 4.7529, 4.7529, 4.7529 Å; angles 90.00, 90.00, 90.00 degrees
Last column: nearest neighbours and their distance in Å.
Space group Pm-3m (No. 221)
Inequivalent atoms, fractional coordinates:
Mn1 0.0000 0.0000 0.5000 x3  2 Rh 2.38
Be1 0.5000 0.5000 0.5000 x1  12 Mn 3.36
Rh1 0.0000 0.0000 0.0000 x1  6 Mn 2.38

arrangement 1 is favored, and the nearest alternative lies 673 meV/atom above it.

Arrangement 1

Computed, not measured: crystalline MnBeRu3 at its relaxed geometry at the PBE level of DFT.

Results
- Magnetic moment: 0.0000 μB per atom

Cell lengths 4.0228, 4.0228, 4.0228 Å; angles 90.00, 90.00, 90.00 degrees
Last column: nearest neighbours and their distance in Å.
Space group Pm-3m (No. 221)
Inequivalent atoms, fractional coordinates:
Mn1 0.0000 0.0000 0.0000 x1  12 Ru 2.84
Be1 0.5000 0.5000 0.5000 x1  6 Ru 2.01
Ru1 0.0000 0.5000 0.5000 x3  2 Be 2.01

Arrangement 2

Computed, not measured: crystalline MnBeRu3 at its relaxed geometry at the PBE level of DFT.

Results
- Magnetic moment: 0.0000 μB per atom

Cell lengths 4.3604, 4.3604, 4.3604 Å; angles 90.00, 90.00, 90.00 degrees
Last column: nearest neighbours and their distance in Å.
Space group Pm-3m (No. 221)
Inequivalent atoms, fractional coordinates:
Mn1 0.0000 0.0000 0.0000 x1  6 Ru 2.18
Be1 0.5000 0.5000 0.5000 x1  12 Ru 3.08
Ru1 0.0000 0.0000 0.5000 x3  2 Mn 2.18

arrangement 1 is favored, and the nearest alternative lies 771 meV/atom above it.

Arrangement 1

Computed, not measured: crystalline MnBe3Ru at its relaxed geometry at the PBE level of DFT.

Results
- Magnetic moment: 0.8524 μB per atom

Cell lengths 4.1159, 4.1159, 4.1159 Å; angles 90.00, 90.00, 90.00 degrees
Last column: nearest neighbours and their distance in Å.
Space group Pm-3m (No. 221)
Inequivalent atoms, fractional coordinates:
Mn1 0.0000 0.0000 0.0000 x1  12 Be 2.91
Be1 0.0000 0.5000 0.5000 x3  2 Ru 2.06
Ru1 0.5000 0.5000 0.5000 x1  6 Be 2.06

Arrangement 2

Computed, not measured: crystalline MnBe3Ru at its relaxed geometry at the PBE level of DFT.

Results
- Magnetic moment: 0.0000 μB per atom

Cell lengths 3.8231, 3.8231, 3.8231 Å; angles 90.00, 90.00, 90.00 degrees
Last column: nearest neighbours and their distance in Å.
Space group Pm-3m (No. 221)
Inequivalent atoms, fractional coordinates:
Mn1 0.0000 0.0000 0.0000 x1  6 Be 1.91
Be1 0.0000 0.0000 0.5000 x3  2 Mn 1.91
Ru1 0.5000 0.5000 0.5000 x1  12 Be 2.70

arrangement 1 is favored, and the nearest alternative lies 334 meV/atom above it.

Arrangement 1

Computed, not measured: crystalline Mn2BeRu2 at its relaxed geometry at the PBE level of DFT.

Results
- Magnetic moment: 0.0002 μB per atom

Cell lengths 3.8535, 3.8535, 9.4417 Å; angles 90.00, 90.00, 90.00 degrees
Last column: nearest neighbours and their distance in Å.
Space group I4/mmm (No. 139)
Inequivalent atoms, fractional coordinates:
Mn1 0.0000 0.0000 0.1033 x4  1 Mn 1.95
Be1 0.0000 0.0000 0.5000 x2  8 Mn 2.89, 8 Ru 3.05
Ru1 0.0000 0.5000 0.2500 x4  4 Mn 2.37

Arrangement 2

Computed, not measured: crystalline Mn2BeRu2 at its relaxed geometry at the PBE level of DFT.

Results
- Magnetic moment: 0.4341 μB per atom

Cell lengths 7.0241, 7.0241, 2.6712 Å; angles 90.00, 90.00, 90.00 degrees
Last column: nearest neighbours and their distance in Å.
Space group P4/mbm (No. 127)
Inequivalent atoms, fractional coordinates:
Mn1 0.1651 0.3349 0.0000 x4  6 Ru 2.41-2.49, 2 Mn 2.67
Be1 0.0000 0.0000 0.5000 x2  2 Be 2.67, 4 Ru 2.74, 8 Mn 2.94
Ru1 0.1326 0.6326 0.5000 x4  6 Mn 2.41-2.49, 3 Ru 2.63-2.67

arrangement 2 is favored, and the nearest alternative lies 173 meV/atom above it.

Arrangement 1

Computed, not measured: crystalline Mn2BeS at its relaxed geometry at the PBE level of DFT.

Results
- Magnetic moment: 0.7523 μB per atom

Cell lengths 3.4236, 3.4236, 15.7684 Å; angles 90.00, 90.00, 90.00 degrees
Last column: nearest neighbours and their distance in Å.
Space group I-42d (No. 122)
Inequivalent atoms, fractional coordinates:
Mn1 0.2463 0.2500 0.1250 x8  2 Be 2.31, 2 S 2.32, 4 Mn 2.40-2.44
Be1 0.0000 0.0000 0.0000 x4  4 Mn 2.31, 4 S 2.42
S1 0.0000 0.0000 0.5000 x4  4 Mn 2.32, 4 Be 2.42

Arrangement 2

Computed, not measured: crystalline Mn2BeS at its relaxed geometry at the PBE level of DFT.

Results
- Magnetic moment: 0.1466 μB per atom

Cell lengths 5.3762, 5.3762, 5.3762 Å; angles 90.00, 90.00, 90.00 degrees
Last column: nearest neighbours and their distance in Å.
Space group Fm-3m (No. 225)
Inequivalent atoms, fractional coordinates:
Mn1 0.2500 0.2500 0.2500 x8  4 S 2.33, 4 Be 2.33
Be1 0.0000 0.0000 0.0000 x4  8 Mn 2.33
S1 0.0000 0.0000 0.5000 x4  8 Mn 2.33

arrangement 2 is favored, and the nearest alternative lies 204 meV/atom above it.

Arrangement 1

Computed, not measured: crystalline Mn2BeSb at its relaxed geometry at the PBE level of DFT.

Results
- Magnetic moment: 1.3041 μB per atom

Cell lengths 3.3203, 3.3203, 18.6468 Å; angles 90.00, 90.00, 120.00 degrees
Last column: nearest neighbours and their distance in Å.
Space group R-3m (No. 166, hexagonal axes)
Inequivalent atoms, fractional coordinates:
Mn1 0.0000 0.0000 0.2282 x6  3 Be 2.23
Be1 0.0000 0.0000 0.5000 x3  6 Mn 2.23
Sb1 0.0000 0.0000 0.0000 x3  6 Mn 2.74

Arrangement 2

Computed, not measured: crystalline Mn2BeSb at its relaxed geometry at the PBE level of DFT.

Results
- Magnetic moment: 1.3162 μB per atom

Cell lengths 3.7135, 3.7135, 8.0110 Å; angles 90.00, 90.00, 90.00 degrees
Last column: nearest neighbours and their distance in Å.
Space group I-4m2 (No. 119)
Inequivalent atoms, fractional coordinates:
Mn1 0.0000 0.0000 0.0000 x2  4 Sb 2.63, 4 Mn 2.73, 4 Be 2.73
Mn2 0.0000 0.5000 0.2500 x2  4 Be 2.63, 4 Mn 2.73, 4 Sb 2.73
Be1 0.0000 0.5000 0.7500 x2  8 Mn 2.63-2.73, 4 Sb 2.73
Sb1 0.0000 0.0000 0.5000 x2  8 Mn 2.63-2.73, 4 Be 2.73

Arrangement 3

Computed, not measured: crystalline Mn2BeSb at its relaxed geometry at the PBE level of DFT.

Results
- Magnetic moment: 1.1935 μB per atom

Cell lengths 3.7787, 3.7787, 7.5464 Å; angles 90.00, 90.00, 90.00 degrees
Last column: nearest neighbours and their distance in Å.
Space group I4/mmm (No. 139)
Inequivalent atoms, fractional coordinates:
Mn1 0.0000 0.5000 0.2500 x4  4 Sb 2.67, 4 Be 2.67, 4 Mn 2.67
Be1 0.0000 0.0000 0.0000 x2  8 Mn 2.67, 4 Sb 2.67
Sb1 0.0000 0.0000 0.5000 x2  8 Mn 2.67, 4 Be 2.67

Arrangement 4

Computed, not measured: crystalline Mn2BeSb at its relaxed geometry at the PBE level of DFT.

Results
- Magnetic moment: 1.5436 μB per atom

Cell lengths 4.1042, 4.1119, 7.0379 Å; angles 90.00, 90.00, 90.00 degrees
Last column: nearest neighbours and their distance in Å.
Space group Cmmm (No. 65)
Inequivalent atoms, fractional coordinates:
Mn1 0.0000 0.0000 0.1875 x4  4 Be 2.44, 1 Mn 2.64
Be1 0.0000 0.5000 0.0000 x2  8 Mn 2.44
Sb1 0.0000 0.5000 0.5000 x2  4 Sb 2.90, 8 Mn 3.01

arrangement 3 is favored, and the nearest alternative lies 34 meV/atom above it.

Arrangement 1

Computed, not measured: crystalline Mn2BeSb at its relaxed geometry at the PBE level of DFT.

Results
- Magnetic moment: 1.2191 μB per atom

Cell lengths 3.7766, 3.7766, 3.8082 Å; angles 90.00, 90.00, 90.00 degrees
Last column: nearest neighbours and their distance in Å.
Space group P4/mmm (No. 123)
Inequivalent atoms, fractional coordinates:
Mn1 0.0000 0.5000 0.0000 x2  4 Mn 2.67, 4 Sb 2.68, 4 Be 2.68
Be1 0.0000 0.0000 0.5000 x1  4 Sb 2.67, 8 Mn 2.68
Sb1 0.5000 0.5000 0.5000 x1  4 Be 2.67, 8 Mn 2.68

Arrangement 2

Computed, not measured: crystalline Mn2BeSb at its relaxed geometry at the PBE level of DFT.

Results
- Magnetic moment: 1.4290 μB per atom

Cell lengths 3.1137, 3.6667, 5.3536 Å; angles 90.00, 106.20, 90.00 degrees
Last column: nearest neighbours and their distance in Å.
Space group Pm (No. 6)
Inequivalent atoms, fractional coordinates:
Mn1 0.0000 0.0000 0.0000 x1  1 Be 2.21
Mn2 0.3524 0.5000 0.7017 x1  4 Be 2.50, 1 Sb 2.73
Be1 0.7888 0.0000 0.5701 x1  1 Mn 2.21
Sb1 0.6134 0.5000 0.2321 x1  2 Be 2.53, 5 Mn 2.68-2.73

Arrangement 3

Computed, not measured: crystalline Mn2BeSb at its relaxed geometry at the PBE level of DFT.

Results
- Magnetic moment: 0.7451 μB per atom

Cell lengths 5.9464, 5.9464, 5.9464 Å; angles 90.00, 90.00, 90.00 degrees
Last column: nearest neighbours and their distance in Å.
Space group F-43m (No. 216)
Inequivalent atoms, fractional coordinates:
Mn1 0.0000 0.0000 0.0000 x4  4 Mn 2.57, 4 Sb 2.57
Mn2 0.2500 0.2500 0.2500 x4  4 Mn 2.57, 4 Be 2.57
Be1 0.0000 0.0000 0.5000 x4  4 Mn 2.57, 4 Sb 2.57
Sb1 0.2500 0.2500 0.7500 x4  4 Mn 2.57, 4 Be 2.57

Arrangement 4

Computed, not measured: crystalline Mn2BeSb at its relaxed geometry at the PBE level of DFT.

Results
- Magnetic moment: 0.6580 μB per atom

Cell lengths 5.8864, 5.8864, 5.8864 Å; angles 90.00, 90.00, 90.00 degrees
Last column: nearest neighbours and their distance in Å.
Space group Fm-3m (No. 225)
Inequivalent atoms, fractional coordinates:
Mn1 0.2500 0.2500 0.2500 x8  4 Sb 2.55, 4 Be 2.55
Be1 0.0000 0.0000 0.0000 x4  8 Mn 2.55
Sb1 0.0000 0.0000 0.5000 x4  8 Mn 2.55

arrangement 1 is favored, and the nearest alternative lies 90 meV/atom above it.

Arrangement 1

Computed, not measured: crystalline Mn3BeSb at its relaxed geometry at the PBE level of DFT.

Results
- Magnetic moment: 2.2033 μB per atom

Cell lengths 4.9197, 4.9197, 4.9197 Å; angles 90.00, 90.00, 90.00 degrees
Last column: nearest neighbours and their distance in Å.
Space group Pm-3m (No. 221)
Inequivalent atoms, fractional coordinates:
Mn1 0.0000 0.0000 0.5000 x3  2 Sb 2.46
Be1 0.5000 0.5000 0.5000 x1  12 Mn 3.48
Sb1 0.0000 0.0000 0.0000 x1  6 Mn 2.46

Arrangement 2

Computed, not measured: crystalline Mn3BeSb at its relaxed geometry at the PBE level of DFT.

Results
- Magnetic moment: 1.9230 μB per atom

Cell lengths 4.2189, 4.2189, 4.2189 Å; angles 90.00, 90.00, 90.00 degrees
Last column: nearest neighbours and their distance in Å.
Space group Pm-3m (No. 221)
Inequivalent atoms, fractional coordinates:
Mn1 0.0000 0.0000 0.5000 x3  2 Be 2.11
Be1 0.0000 0.0000 0.0000 x1  6 Mn 2.11
Sb1 0.5000 0.5000 0.5000 x1  12 Mn 2.98

arrangement 2 is favored, and the nearest alternative lies 1057 meV/atom above it.

Arrangement 1

Computed, not measured: crystalline MnBe3Sb at its relaxed geometry at the PBE level of DFT.

Results
- Magnetic moment: 0.0427 μB per atom

Cell lengths 4.1378, 4.1378, 4.1378 Å; angles 90.00, 90.00, 90.00 degrees
Last column: nearest neighbours and their distance in Å.
Space group Pm-3m (No. 221)
Inequivalent atoms, fractional coordinates:
Mn1 0.0000 0.0000 0.0000 x1  6 Be 2.07
Be1 0.0000 0.0000 0.5000 x3  2 Mn 2.07
Sb1 0.5000 0.5000 0.5000 x1  12 Be 2.93

Arrangement 2

Computed, not measured: crystalline MnBe3Sb at its relaxed geometry at the PBE level of DFT.

Results
- Magnetic moment: 0.0272 μB per atom

Cell lengths 4.5089, 4.5089, 4.5089 Å; angles 90.00, 90.00, 90.00 degrees
Last column: nearest neighbours and their distance in Å.
Space group Pm-3m (No. 221)
Inequivalent atoms, fractional coordinates:
Mn1 0.0000 0.0000 0.0000 x1  12 Be 3.19
Be1 0.0000 0.5000 0.5000 x3  2 Sb 2.25
Sb1 0.5000 0.5000 0.5000 x1  6 Be 2.25

arrangement 1 is favored, and the nearest alternative lies 1024 meV/atom above it.

Arrangement 1

Computed, not measured: crystalline MnBeSb2Te at its relaxed geometry at the PBE level of DFT.

Results
- Magnetic moment: 0.4364 μB per atom

Cell lengths 4.9916, 4.9916, 5.2343 Å; angles 90.00, 90.00, 90.00 degrees
Last column: nearest neighbours and their distance in Å.
Space group P4/mmm (No. 123)
Inequivalent atoms, fractional coordinates:
Mn1 0.0000 0.0000 0.0000 x1  4 Sb 2.50, 2 Te 2.62
Be1 0.5000 0.5000 0.5000 x1  4 Te 3.53, 8 Sb 3.62
Sb1 0.0000 0.5000 0.0000 x2  2 Mn 2.50
Te1 0.0000 0.0000 0.5000 x1  2 Mn 2.62

Arrangement 2

Computed, not measured: crystalline MnBeSb2Te at its relaxed geometry at the PBE level of DFT.

Results
- Magnetic moment: 0.0089 μB per atom

Cell lengths 4.7747, 4.7747, 5.0379 Å; angles 90.00, 90.00, 90.00 degrees
Last column: nearest neighbours and their distance in Å.
Space group P4/mmm (No. 123)
Inequivalent atoms, fractional coordinates:
Mn1 0.0000 0.0000 0.0000 x1  4 Te 3.38, 8 Sb 3.47
Be1 0.5000 0.5000 0.5000 x1  4 Sb 2.39, 2 Te 2.52
Sb1 0.0000 0.5000 0.5000 x2  2 Be 2.39
Te1 0.5000 0.5000 0.0000 x1  2 Be 2.52

arrangement 1 is favored, and the nearest alternative lies 293 meV/atom above it.

Arrangement 1

Computed, not measured: crystalline ScMnBe2 at its relaxed geometry at the PBE level of DFT.

Results
- Magnetic moment: 0.5089 μB per atom

Cell lengths 2.9076, 2.9076, 22.3309 Å; angles 90.00, 90.00, 120.00 degrees
Last column: nearest neighbours and their distance in Å.
Space group R-3m (No. 166, hexagonal axes)
Inequivalent atoms, fractional coordinates:
Sc1 0.0000 0.0000 0.0000 x3  6 Be 2.71, 6 Sc 2.91
Mn1 0.0000 0.0000 0.5000 x3  6 Be 2.32
Be1 0.0000 0.0000 0.2383 x6  3 Mn 2.32

Arrangement 2

Computed, not measured: crystalline ScMnBe2 at its relaxed geometry at the PBE level of DFT.

Results
- Magnetic moment: 0.2054 μB per atom

Cell lengths 2.9433, 2.9433, 5.6024 Å; angles 90.00, 90.00, 90.00 degrees
Last column: nearest neighbours and their distance in Å.
Space group P4/mmm (No. 123)
Inequivalent atoms, fractional coordinates:
Sc1 0.0000 0.0000 0.0000 x1  8 Be 2.72, 2 Mn 2.80, 4 Sc 2.94
Mn1 0.0000 0.0000 0.5000 x1  8 Be 2.33
Be1 0.5000 0.5000 0.3138 x2  1 Be 2.09, 4 Mn 2.33

arrangement 2 is favored, and the nearest alternative lies 449 meV/atom above it.